SrV3O6 after structural relaxation. Source: Alexandria via LeMat-Bulk, functional PBE with a Hubbard U.

Cell lengths 7.994, 7.994, 4.925 Å; angles 90.00, 90.00, 123.36 degrees
Fractional positions:
Sr: 0.221 0.779 0.500
Sr: 0.779 0.221 0.000
V: 0.115 0.244 0.431
V: 0.244 0.115 0.931
V: 0.431 0.569 0.080
V: 0.569 0.431 0.580
V: 0.756 0.885 0.431
V: 0.885 0.756 0.931
O: 0.037 0.963 0.630
O: 0.153 0.847 0.053
O: 0.162 0.471 0.251
O: 0.296 0.369 0.757
O: 0.369 0.296 0.257
O: 0.471 0.162 0.751
O: 0.529 0.838 0.251
O: 0.631 0.704 0.757
O: 0.704 0.631 0.257
O: 0.838 0.529 0.751
O: 0.847 0.153 0.553
O: 0.963 0.037 0.130

Computed properties:
Electronic total energy: -7.528 eV/atom
DOS at the Fermi energy: 6.175 states/eV/cell